1.
This record from Alexandria describes a geometry-optimized PuScTlIn structure. The functional is PBE.

abc: 3.251 3.251 9.273
angles: 90.00 90.00 90.00
Fractional positions:
Pu (0.000, 0.000, 0.000)
Sc (0.000, 0.000, 0.496)
Tl (0.500, 0.500, 0.734)
In (0.500, 0.500, 0.263)

Computed properties:
final energy = -6.663 eV per atom
ΔE_f = -0.22 eV per atom
N(E_F) = 7.6 states/eV/cell



2.
This record from Alexandria describes a geometry-optimized PuScZnIn structure. The functional is PBE.

abc: 3.355 3.355 7.988
angles: 90.00 90.00 90.00
Fractional positions:
Pu (0.000, 0.000, 0.000)
Sc (0.000, 0.000, 0.546)
Zn (0.500, 0.500, 0.747)
In (0.500, 0.500, 0.294)

Computed properties:
final energy = -6.412 eV per atom
ΔE_f = -0.24 eV per atom
N(E_F) = 7.3 states/eV/cell



3.
This record from Alexandria describes a geometry-optimized PuScZnIn structure. The functional is PBE.

abc: 7.192 7.192 7.192
angles: 90.00 90.00 90.00
Fractional positions:
Pu (0.000, 0.000, 0.000)
Pu (0.000, 0.500, 0.500)
Pu (0.500, 0.000, 0.500)
Pu (0.500, 0.500, 0.000)
Sc (0.000, 0.000, 0.500)
Sc (0.000, 0.500, 0.000)
Sc (0.500, 0.000, 0.000)
Sc (0.500, 0.500, 0.500)
Zn (0.250, 0.250, 0.250)
Zn (0.250, 0.750, 0.750)
Zn (0.750, 0.250, 0.750)
Zn (0.750, 0.750, 0.250)
In (0.250, 0.250, 0.750)
In (0.250, 0.750, 0.250)
In (0.750, 0.250, 0.250)
In (0.750, 0.750, 0.750)

Computed properties:
final energy = -6.350 eV per atom
ΔE_f = -0.18 eV per atom
N(E_F) = 30.6 states/eV/cell



4.
This record from Alexandria describes a geometry-optimized PuInSe3 structure. The functional is PBE.

abc: 7.203 4.163 10.699
angles: 90.00 100.92 90.00
Fractional positions:
Pu (0.219, 0.250, 0.429)
Pu (0.781, 0.750, 0.571)
In (0.391, 0.250, 0.860)
In (0.609, 0.750, 0.140)
Se (0.052, 0.250, 0.652)
Se (0.261, 0.750, 0.970)
Se (0.466, 0.750, 0.352)
Se (0.534, 0.250, 0.648)
Se (0.739, 0.250, 0.030)
Se (0.948, 0.750, 0.348)

Computed properties:
final energy = -6.423 eV per atom
formation energy (no corrections) = -0.92 eV per atom
N(E_F) = 21.7 states/eV/cell



5.
This record from Alexandria describes a geometry-optimized PuInSe2 structure. The functional is PBE.

abc: 4.205 4.205 23.240
angles: 90.00 90.00 120.00
Fractional positions:
Pu (0.000, 0.000, 0.000)
Pu (0.333, 0.667, 0.667)
Pu (0.667, 0.333, 0.333)
In (0.000, 0.000, 0.829)
In (0.333, 0.667, 0.496)
In (0.667, 0.333, 0.163)
Se (0.000, 0.000, 0.403)
Se (0.000, 0.000, 0.599)
Se (0.333, 0.667, 0.070)
Se (0.333, 0.667, 0.266)
Se (0.667, 0.333, 0.736)
Se (0.667, 0.333, 0.933)

Computed properties:
final energy = -7.018 eV per atom
formation energy (no corrections) = -1.01 eV per atom
N(E_F) = 31.2 states/eV/cell



6.
This record from Alexandria describes a geometry-optimized PuInSe2 structure. The functional is PBE.

abc: 3.653 3.653 7.437
angles: 90.00 90.00 90.00
Fractional positions:
Pu (0.000, 0.000, 0.000)
In (0.000, 0.000, 0.500)
Se (0.500, 0.500, 0.218)
Se (0.500, 0.500, 0.782)

Computed properties:
final energy = -6.934 eV per atom
formation energy (no corrections) = -0.92 eV per atom
N(E_F) = 7.5 states/eV/cell



7.
This record from Alexandria describes a geometry-optimized Pu2In2Se7 structure. The functional is PBE.

abc: 7.296 7.296 8.237
angles: 100.13 100.13 119.37
Fractional positions:
Pu (0.170, 0.830, 0.000)
Pu (0.830, 0.170, 0.000)
In (0.193, 0.193, 0.625)
In (0.807, 0.807, 0.375)
Se (0.050, 0.418, 0.794)
Se (0.200, 0.200, 0.206)
Se (0.418, 0.050, 0.794)
Se (0.500, 0.500, 0.500)
Se (0.582, 0.950, 0.206)
Se (0.800, 0.800, 0.794)
Se (0.950, 0.582, 0.206)

Computed properties:
final energy = -6.037 eV per atom
formation energy (no corrections) = -0.72 eV per atom
N(E_F) = 14.6 states/eV/cell



8.
This record from Alexandria describes a geometry-optimized Pu3InSe6 structure. The functional is PBE.

abc: 9.000 9.000 6.968
angles: 90.00 90.00 102.41
Fractional positions:
Pu (0.097, 0.903, 0.500)
Pu (0.218, 0.414, 0.585)
Pu (0.414, 0.218, 0.085)
Pu (0.586, 0.782, 0.585)
Pu (0.782, 0.586, 0.085)
Pu (0.903, 0.097, 0.000)
In (0.299, 0.701, 0.125)
In (0.701, 0.299, 0.625)
Se (0.051, 0.593, 0.325)
Se (0.130, 0.193, 0.291)
Se (0.193, 0.130, 0.791)
Se (0.278, 0.722, 0.753)
Se (0.407, 0.949, 0.325)
Se (0.470, 0.530, 0.293)
Se (0.530, 0.470, 0.793)
Se (0.593, 0.051, 0.825)
Se (0.722, 0.278, 0.253)
Se (0.807, 0.870, 0.291)
Se (0.870, 0.807, 0.791)
Se (0.949, 0.407, 0.825)

Computed properties:
final energy = -7.875 eV per atom
formation energy (no corrections) = -1.21 eV per atom
N(E_F) = 57.1 states/eV/cell



9.
This record from Alexandria describes a geometry-optimized PuInSe4 structure. The functional is PBE.

abc: 7.337 6.300 7.118
angles: 90.00 96.18 90.00
Fractional positions:
Pu (0.000, 0.000, 0.000)
Pu (0.000, 0.500, 0.500)
In (0.500, 0.000, 0.500)
In (0.500, 0.500, 0.000)
Se (0.157, 0.107, 0.362)
Se (0.157, 0.393, 0.862)
Se (0.385, 0.597, 0.398)
Se (0.385, 0.903, 0.898)
Se (0.615, 0.097, 0.102)
Se (0.615, 0.403, 0.602)
Se (0.843, 0.607, 0.138)
Se (0.843, 0.893, 0.638)

Computed properties:
final energy = -5.835 eV per atom
formation energy (no corrections) = -0.67 eV per atom
N(E_F) = 15.3 states/eV/cell



10.
This record from Alexandria describes a geometry-optimized PuIn2SnSe4 structure. The functional is PBE.

abc: 7.448 4.231 7.674
angles: 90.00 108.65 90.00
Fractional positions:
Pu (0.000, 0.000, 0.000)
In (0.000, 0.500, 0.500)
In (0.500, 0.000, 0.500)
Sn (0.500, 0.500, 0.000)
Se (0.226, 0.500, 0.219)
Se (0.241, 0.000, 0.769)
Se (0.759, 0.000, 0.231)
Se (0.774, 0.500, 0.781)

Computed properties:
final energy = -5.407 eV per atom
formation energy (no corrections) = -0.69 eV per atom
N(E_F) = 13.4 states/eV/cell



11.
This record from Alexandria describes a geometry-optimized Pu2Tl3InSe6 structure. The functional is PBE.

abc: 7.309 7.309 8.054
angles: 98.72 98.72 119.96
Fractional positions:
Pu (0.166, 0.834, 0.000)
Pu (0.834, 0.166, 0.000)
Tl (0.000, 0.000, 0.500)
Tl (0.331, 0.669, 0.500)
Tl (0.669, 0.331, 0.500)
In (0.500, 0.500, 0.000)
Se (0.102, 0.433, 0.798)
Se (0.237, 0.237, 0.205)
Se (0.433, 0.102, 0.798)
Se (0.567, 0.898, 0.202)
Se (0.763, 0.763, 0.795)
Se (0.898, 0.567, 0.202)

Computed properties:
final energy = -5.826 eV per atom
formation energy (no corrections) = -0.88 eV per atom
N(E_F) = 22.1 states/eV/cell



12.
This record from Alexandria describes a geometry-optimized Pu3Tl4InSe8 structure. The functional is PBE.

abc: 9.095 9.095 9.095
angles: 55.52 55.52 55.52
Fractional positions:
Pu (0.000, 0.500, 0.500)
Pu (0.500, 0.000, 0.500)
Pu (0.500, 0.500, 0.000)
Tl (0.000, 0.000, 0.500)
Tl (0.000, 0.500, 0.000)
Tl (0.500, 0.000, 0.000)
Tl (0.500, 0.500, 0.500)
In (0.000, 0.000, 0.000)
Se (0.232, 0.232, 0.737)
Se (0.232, 0.737, 0.232)
Se (0.263, 0.768, 0.768)
Se (0.266, 0.266, 0.266)
Se (0.734, 0.734, 0.734)
Se (0.737, 0.232, 0.232)
Se (0.768, 0.263, 0.768)
Se (0.768, 0.768, 0.263)

Computed properties:
final energy = -6.129 eV per atom
formation energy (no corrections) = -0.94 eV per atom
N(E_F) = 32.1 states/eV/cell



no.,calculated density (Mg/m³)
1,10.3
2,8.7
3,8.4
4,6.3
5,7.2
6,8.6
7,5.9
8,8.0
9,6.8
10,6.6
11,7.9
12,8.0